# PBE-GGA Sm6Cd2Co, relaxed
data_Sm6Cd2Co
_chemical_formula_sum 'Sm12 Cd4 Co2'
_space_group_name_H-M_alt 'P 1'
_space_group_IT_number 1
_cell_length_a 7.3475
_cell_length_b 7.2343
_cell_length_c 10.0271
_cell_angle_alpha 90.00
_cell_angle_beta 90.87
_cell_angle_gamma 90.00
loop_
_space_group_symop_operation_xyz
'x,y,z'
loop_
_atom_site_label
_atom_site_type_symbol
_atom_site_fract_x
_atom_site_fract_y
_atom_site_fract_z
Sm1 Sm 0.9263 0.0000 0.2459
Sm2 Sm 0.7510 0.7470 0.5386
Sm3 Sm 0.7495 0.2517 0.5385
Sm4 Sm 0.2510 0.7530 0.0386
Sm5 Sm 0.5737 0.5000 0.2541
Sm6 Sm 0.2490 0.2530 0.4614
Sm7 Sm 0.0737 0.0000 0.7541
Sm8 Sm 0.2505 0.7483 0.4615
Sm9 Sm 0.4263 0.5000 0.7459
Sm10 Sm 0.7505 0.7517 0.9615
Sm11 Sm 0.2495 0.2483 0.0385
Sm12 Sm 0.7490 0.2470 0.9614
Co1 Co 0.0000 0.0000 0.5000
Co2 Co 0.5000 0.5000 0.0000
Cd1 Cd 0.5003 0.9991 0.7427
Cd2 Cd 0.9997 0.4991 0.7573
Cd3 Cd 0.0003 0.5009 0.2427
Cd4 Cd 0.4997 0.0009 0.2573
# Calculated volume, Å³/cell: 533
# Theoretical density, g/cm³: 7.39
# DFT total energy, eV/atom: -4.262

---

# PBE-GGA Li2Ga2Ni2Pt, relaxed
data_Li2Ga2Ni2Pt
_chemical_formula_sum 'Li2 Ga2 Ni2 Pt1'
_space_group_name_H-M_alt 'P 1'
_space_group_IT_number 1
_cell_length_a 3.8138
_cell_length_b 4.5100
_cell_length_c 5.8706
_cell_angle_alpha 96.58
_cell_angle_beta 90.00
_cell_angle_gamma 115.01
loop_
_space_group_symop_operation_xyz
'x,y,z'
loop_
_atom_site_label
_atom_site_type_symbol
_atom_site_fract_x
_atom_site_fract_y
_atom_site_fract_z
Li1 Li 0.4215 0.8430 0.2914
Li2 Li 0.5785 0.1570 0.7086
Ni1 Ni 0.8590 0.7180 0.5648
Ni2 Ni 0.1410 0.2820 0.4352
Pt1 Pt 0.0000 0.0000 0.0000
Ga1 Ga 0.2911 0.5822 0.8164
Ga2 Ga 0.7089 0.4178 0.1836
# Calculated volume, Å³/cell: 91
# Theoretical density, g/cm³: 8.52
# DFT total energy, eV/atom: -4.337

---

# PBE-GGA LiHg7Pb12, relaxed
data_LiHg7Pb12
_chemical_formula_sum 'Li1 Hg7 Pb12'
_space_group_name_H-M_alt 'P 1'
_space_group_IT_number 1
_cell_length_a 5.6236
_cell_length_b 11.2125
_cell_length_c 11.2125
_cell_angle_alpha 117.26
_cell_angle_beta 99.62
_cell_angle_gamma 99.62
loop_
_space_group_symop_operation_xyz
'x,y,z'
loop_
_atom_site_label
_atom_site_type_symbol
_atom_site_fract_x
_atom_site_fract_y
_atom_site_fract_z
Pb1 Pb 0.1125 0.1690 0.6124
Pb2 Pb 0.4557 0.3358 0.9478
Pb3 Pb 0.9435 0.4434 0.8310
Pb4 Pb 0.5001 0.3876 0.5566
Pb5 Pb 0.5079 0.0522 0.3880
Pb6 Pb 0.0565 0.5566 0.1690
Pb7 Pb 0.8802 0.3880 0.3358
Pb8 Pb 0.5443 0.6642 0.0522
Pb9 Pb 0.4921 0.9478 0.6120
Pb10 Pb 0.8875 0.8310 0.3876
Pb11 Pb 0.4999 0.6124 0.4434
Pb12 Pb 0.1198 0.6120 0.6642
Hg1 Hg 0.6905 0.7294 0.8182
Hg2 Hg 0.8724 0.1818 0.9113
Hg3 Hg 0.0389 0.9113 0.7294
Hg4 Hg 0.9611 0.0887 0.2706
Hg5 Hg 0.1276 0.8182 0.0887
Hg6 Hg 0.3095 0.2706 0.1818
Hg7 Hg 0.5000 0.0000 0.0000
Li1 Li 0.0000 0.0000 0.0000
# Calculated volume, Å³/cell: 595
# Theoretical density, g/cm³: 10.87
# DFT total energy, eV/atom: -2.385

---

- Number 3 is which compound?
  LiHg7Pb12

---

- Which of these has the lowest theoretical density?
  Sm6Cd2Co

---

- Look up the DFT total energy of the third one.
  -2.385 eV/atom